Compound: Re2PPb
Source: Alexandria
Functional: GGA-PBE
Structure: optimized geometry

## Properties
final energy: -7.57 eV per atom
E_form: 0.931 eV/atom
crystal system: cubic

Cell lengths 4.5053, 4.5053, 4.5053 Å; angles 60.00, 60.00, 60.00 degrees
Fractional coordinates of all 4 atoms:
Re 0.2500 0.2500 0.2500
Re 0.7500 0.7500 0.7500
P 0.0000 0.0000 0.0000
Pb 0.5000 0.5000 0.5000

Compound: ReP4Pb
Source: Alexandria
Functional: GGA-PBE
Structure: optimized geometry

## Properties
final energy: -5.22 eV per atom
E_form: 1.080 eV/atom
crystal system: cubic

Cell lengths 5.2825, 5.2825, 5.2825 Å; angles 60.00, 60.00, 60.00 degrees
Fractional coordinates of all 6 atoms:
Re 0.0000 0.0000 0.0000
P 0.3635 0.3635 0.3635
P 0.3635 0.3635 0.9095
P 0.3635 0.9095 0.3635
P 0.9095 0.3635 0.3635
Pb 0.7500 0.7500 0.7500

Compound: Re2PPb
Source: Alexandria
Functional: GGA-PBE
Structure: optimized geometry

## Properties
final energy: -8.02 eV per atom
E_form: 0.479 eV/atom
crystal system: orthorhombic

Cell lengths 3.0694, 4.4135, 5.4221 Å; angles 90.00, 90.00, 90.00 degrees
Fractional coordinates of all 4 atoms:
Re 0.0000 0.0000 0.0000
Re 0.5000 0.5000 0.1607
P 0.0000 0.5000 0.8276
Pb 0.5000 0.0000 0.4987

Compound: Re2PPb
Source: Alexandria
Functional: GGA-PBE
Structure: optimized geometry

## Properties
final energy: -7.81 eV per atom
E_form: 0.689 eV/atom
crystal system: orthorhombic

Cell lengths 5.3916, 5.3916, 5.3916 Å; angles 148.10, 123.84, 66.05 degrees
Fractional coordinates of all 4 atoms:
Re 0.2090 0.2090 0.0000
Re 0.7910 0.7910 0.0000
P 0.0000 0.5000 0.5000
Pb 0.5000 0.0000 0.5000

Compound: Re2PPb
Source: Alexandria
Functional: GGA-PBE
Structure: optimized geometry

## Properties
final energy: -7.95 eV per atom
E_form: 0.553 eV/atom
crystal system: trigonal

Cell lengths 8.9621, 8.9621, 8.9621 Å; angles 19.16, 19.16, 19.16 degrees
Fractional coordinates of all 4 atoms:
Re 0.2329 0.2329 0.2329
Re 0.7671 0.7671 0.7671
P 0.5000 0.5000 0.5000
Pb 0.0000 0.0000 0.0000

Compound: RePPb3
Source: Alexandria
Functional: GGA-PBE
Structure: optimized geometry

## Properties
final energy: -4.94 eV per atom
E_form: 0.860 eV/atom
crystal system: cubic

Cell lengths 5.3244, 5.3244, 5.3244 Å; angles 90.00, 90.00, 90.00 degrees
Fractional coordinates of all 5 atoms:
Re 0.0000 0.0000 0.0000
P 0.5000 0.5000 0.5000
Pb 0.0000 0.0000 0.5000
Pb 0.0000 0.5000 0.0000
Pb 0.5000 0.0000 0.0000

Compound: RePPb3
Source: Alexandria
Functional: GGA-PBE
Structure: optimized geometry

## Properties
final energy: -4.32 eV per atom
E_form: 1.477 eV/atom
crystal system: cubic

Cell lengths 5.3442, 5.3442, 5.3442 Å; angles 90.00, 90.00, 90.00 degrees
Fractional coordinates of all 5 atoms:
Re 0.0000 0.0000 0.0000
P 0.5000 0.5000 0.5000
Pb 0.0000 0.5000 0.5000
Pb 0.5000 0.0000 0.5000
Pb 0.5000 0.5000 0.0000

Compound: Re2PPb
Source: Alexandria
Functional: GGA-PBE
Structure: optimized geometry

## Properties
final energy: -7.56 eV per atom
E_form: 0.946 eV/atom
crystal system: tetragonal

Cell lengths 4.4943, 4.4943, 3.2156 Å; angles 90.00, 90.00, 90.00 degrees
Fractional coordinates of all 4 atoms:
Re 0.0000 0.5000 0.0000
Re 0.5000 0.0000 0.0000
P 0.0000 0.0000 0.5000
Pb 0.5000 0.5000 0.5000

Compound: Re2PPb
Source: Alexandria
Functional: GGA-PBE
Structure: optimized geometry

## Properties
final energy: -8.13 eV per atom
E_form: 0.379 eV/atom
crystal system: trigonal

Cell lengths 10.3594, 10.3594, 10.3594 Å; angles 16.58, 16.58, 16.58 degrees
Fractional coordinates of all 4 atoms:
Re 0.0000 0.0000 0.0000
Re 0.2656 0.2656 0.2656
P 0.7231 0.7231 0.7231
Pb 0.5134 0.5134 0.5134

Compound: Re2PPb
Source: Alexandria
Functional: GGA-PBE
Structure: optimized geometry

## Properties
final energy: -7.75 eV per atom
E_form: 0.755 eV/atom
crystal system: orthorhombic

Cell lengths 3.0714, 3.0714, 8.3873 Å; angles 90.00, 90.00, 117.82 degrees
Fractional coordinates of all 4 atoms:
Re 0.0000 0.0000 0.1991
Re 0.0000 0.0000 0.8009
P 0.5000 0.5000 0.0000
Pb 0.5000 0.5000 0.5000

Compound: Re2PPb
Source: Alexandria
Functional: GGA-PBE
Structure: optimized geometry

## Properties
final energy: -7.35 eV per atom
E_form: 1.155 eV/atom
crystal system: monoclinic

Cell lengths 5.2666, 5.2666, 3.0467 Å; angles 106.28, 106.28, 110.07 degrees
Fractional coordinates of all 4 atoms:
Re 0.0000 0.5000 0.0000
Re 0.5000 0.0000 0.0000
P 0.0000 0.0000 0.5000
Pb 0.5000 0.5000 0.5000

Compound: RePPb2Se
Source: Alexandria
Functional: GGA-PBE
Structure: optimized geometry

## Properties
final energy: -4.49 eV per atom
E_form (uncorrected): 1260 meV per atom
crystal system: tetragonal

Cell lengths 5.7306, 5.7306, 4.5605 Å; angles 90.00, 90.00, 90.00 degrees
Fractional coordinates of all 5 atoms:
Re 0.0000 0.0000 0.0000
P 0.5000 0.5000 0.0000
Pb 0.0000 0.5000 0.5000
Pb 0.5000 0.0000 0.5000
Se 0.0000 0.0000 0.5000

Compound: VRePPb2
Source: Alexandria
Functional: GGA-PBE
Structure: optimized geometry

## Properties
final energy: -5.59 eV per atom
E_form: 1.286 eV/atom
crystal system: tetragonal

Cell lengths 5.3238, 5.3238, 4.4433 Å; angles 90.00, 90.00, 90.00 degrees
Fractional coordinates of all 5 atoms:
V 0.0000 0.0000 0.0000
Re 0.5000 0.5000 0.5000
P 0.0000 0.0000 0.5000
Pb 0.0000 0.5000 0.0000
Pb 0.5000 0.0000 0.0000

Compound: YReP2Pb
Source: Alexandria
Functional: GGA-PBE
Structure: optimized geometry

## Properties
final energy: -6.57 eV per atom
E_form: 0.118 eV/atom
crystal system: tetragonal

Cell lengths 4.6097, 4.6097, 5.6671 Å; angles 90.00, 90.00, 90.00 degrees
Fractional coordinates of all 5 atoms:
Y 0.0000 0.0000 0.0000
Re 0.0000 0.0000 0.5000
P 0.0000 0.5000 0.5000
P 0.5000 0.0000 0.5000
Pb 0.5000 0.5000 0.0000

Compound: PRh3Pb
Source: Alexandria
Functional: GGA-PBE
Structure: optimized geometry

## Properties
final energy: -4.52 eV per atom
E_form: 1.717 eV/atom
crystal system: cubic

Cell lengths 4.9466, 4.9466, 4.9466 Å; angles 90.00, 90.00, 90.00 degrees
Fractional coordinates of all 5 atoms:
P 0.0000 0.0000 0.0000
Rh 0.0000 0.5000 0.5000
Rh 0.5000 0.0000 0.5000
Rh 0.5000 0.5000 0.0000
Pb 0.5000 0.5000 0.5000

Compound: PRh2Pb
Source: Alexandria
Functional: GGA-PBE
Structure: optimized geometry

## Properties
final energy: -5.58 eV per atom
E_form: 0.373 eV/atom
crystal system: cubic

Cell lengths 4.5891, 4.5891, 4.5891 Å; angles 60.00, 60.00, 60.00 degrees
Fractional coordinates of all 4 atoms:
P 0.0000 0.0000 0.0000
Rh 0.5000 0.5000 0.5000
Rh 0.7500 0.7500 0.7500
Pb 0.2500 0.2500 0.2500

Compound: PRh2Pb
Source: Alexandria
Functional: GGA-PBE
Structure: optimized geometry

## Properties
final energy: -6.09 eV per atom
E_form: -0.136 eV/atom
crystal system: orthorhombic

Cell lengths 3.0078, 3.0078, 7.4001 Å; angles 90.00, 90.00, 90.19 degrees
Fractional coordinates of all 4 atoms:
P 0.0000 0.0000 0.0000
Rh 0.5000 0.5000 0.1821
Rh 0.5000 0.5000 0.8179
Pb 0.0000 0.0000 0.5000

Compound: PRh2Pb
Source: Alexandria
Functional: GGA-PBE
Structure: optimized geometry

## Properties
final energy: -5.92 eV per atom
E_form: 0.031 eV/atom
crystal system: trigonal

Cell lengths 8.1425, 8.1425, 8.1425 Å; angles 23.58, 23.58, 23.58 degrees
Fractional coordinates of all 4 atoms:
P 0.0000 0.0000 0.0000
Rh 0.2854 0.2854 0.2854
Rh 0.5292 0.5292 0.5292
Pb 0.7782 0.7782 0.7782

Compound: P3RhPb
Source: Alexandria
Functional: GGA-PBE
Structure: optimized geometry

## Properties
final energy: -4.96 eV per atom
E_form: 0.494 eV/atom
crystal system: cubic

Cell lengths 4.7001, 4.7001, 4.7001 Å; angles 90.00, 90.00, 90.00 degrees
Fractional coordinates of all 5 atoms:
P 0.0000 0.0000 0.5000
P 0.0000 0.5000 0.0000
P 0.5000 0.0000 0.0000
Rh 0.0000 0.0000 0.0000
Pb 0.5000 0.5000 0.5000

Compound: PRh2Pb
Source: Alexandria
Functional: GGA-PBE
Structure: optimized geometry

## Properties
final energy: -5.79 eV per atom
E_form: 0.168 eV/atom
crystal system: cubic

Cell lengths 4.5418, 4.5418, 4.5418 Å; angles 60.00, 60.00, 60.00 degrees
Fractional coordinates of all 4 atoms:
P 0.0000 0.0000 0.0000
Rh 0.2500 0.2500 0.2500
Rh 0.7500 0.7500 0.7500
Pb 0.5000 0.5000 0.5000